The following is a DFT calculation (GGA-PBE) of an optimized crystal structure of SrHf2AgS.

abc: 5.0655 6.1005 5.0655
angles: 90.00 90.00 90.00
Site moments in Bohr magnetons follow the coordinates.
Fractional coordinates of all 5 atoms:
Sr: 0.0000 0.5000 0.0000  0.01
Ag: 0.0000 0.0000 0.0000  0.04
Hf: 0.5000 0.0000 0.0000  0.29
S: 0.5000 0.5000 0.5000  -0.02
Hf: 0.0000 0.0000 0.5000  0.17

Summary:
**Space group**: P4/mmm
**Formation energy (no corrections)**: 0.73 eV/atom

***

The following is a DFT calculation (GGA-PBE) of an optimized crystal structure of Ho2MgAl3Au4.

abc: 4.3389 4.3389 10.7650
angles: 90.00 90.00 90.00
Fractional coordinates of all 10 atoms:
Au: 0.0000 0.5000 0.3578
Au: 0.0000 0.0000 0.0000
Ho: 0.0000 0.5000 0.7596
Au: 0.5000 0.5000 0.0000
Al: 0.5000 0.0000 0.8707
Mg: 0.5000 0.5000 0.5000
Al: 0.0000 0.5000 0.1293
Al: 0.0000 0.0000 0.5000
Ho: 0.5000 0.0000 0.2404
Au: 0.5000 0.0000 0.6422

Summary:
**Space group**: P-4m2
**Formation energy**: -0.654 eV/atom

***

The following is a DFT calculation (GGA-PBE) of an optimized crystal structure of RbPu2Te2.

abc: 4.7890 4.7890 9.0354
angles: 77.82 77.82 101.76
Site moments in Bohr magnetons follow the coordinates.
Fractional coordinates of all 5 atoms:
Pu: 0.2500 0.7500 0.5000  5.96
Te: 0.3726 0.3726 0.2548  -0.06
Pu: 0.7500 0.2500 0.5000  5.96
Te: 0.6274 0.6274 0.7452  -0.06
Rb: 0.0000 0.0000 0.0000  0.01

Summary:
**Space group**: Fmmm
**Formation energy (no corrections)**: -0.77 eV/atom

***

The following is a DFT calculation (GGA-PBE) of an optimized crystal structure of La2NCl.

abc: 6.2966 6.2966 7.3483
angles: 64.63 64.63 90.00
Site moments in Bohr magnetons follow the coordinates.
Fractional coordinates of all 8 atoms:
La: 0.1994 0.6250 0.2500  0.31
La: 0.8750 0.8006 0.7500  0.31
Cl: 0.7500 0.2500 0.5000  0.04
La: 0.5506 0.1250 0.2500  0.31
Cl: 0.0000 0.0000 0.0000  0.04
N: 0.2500 0.7500 0.5000  -0.02
La: 0.3750 0.4494 0.7500  0.32
N: 0.5000 0.5000 0.0000  -0.02

Summary:
**Space group**: I-42d
**Formation energy (no corrections)**: -1.34 eV/atom

***

The following is a DFT calculation (GGA-PBE) of an optimized crystal structure of Mn2PSe.

abc: 2.9982 2.9977 6.1991
angles: 90.00 90.00 90.00
Site moments in Bohr magnetons follow the coordinates.
Fractional coordinates of all 4 atoms:
Mn: 0.0000 0.0000 0.0372  2.64
P: 0.5000 0.5000 0.2500  -0.17
Se: 0.5000 0.5000 0.7500  -0.14
Mn: 0.0000 0.0000 0.4628  2.64

Summary:
**Space group**: P4/mmm
**Relative energy among the computed polymorphs**: 248 meV/atom
**Formation energy (no corrections)**: -0.02 eV/atom

***

The following is a DFT calculation (GGA-PBE) of an optimized crystal structure of AgBi3Au.

abc: 5.5661 5.5661 5.5661
angles: 90.00 90.00 90.00
Fractional coordinates of all 5 atoms:
Bi: 0.0000 0.0000 0.5000
Bi: 0.0000 0.5000 0.0000
Bi: 0.5000 0.0000 0.0000
Au: 0.0000 0.0000 0.0000
Ag: 0.5000 0.5000 0.5000

Summary:
**Space group**: Pm-3m
**Relative energy among the computed polymorphs**: 536 meV/atom
**Formation energy**: 0.608 eV/atom